PuPbAu3: relaxed, GGA-PBE.

Lattice parameters (Å, degrees): 5.136 7.515 6.707 90.00 90.28 90.00
Atoms (fractional coordinates):
Pu1 0.248 0.250 0.272
Pu2 0.752 0.750 0.728
Pb1 0.245 0.250 0.786
Pb2 0.755 0.750 0.214
Au1 0.251 0.568 0.560
Au2 0.251 0.932 0.560
Au3 0.253 0.750 0.981
Au4 0.747 0.250 0.019
Au5 0.749 0.068 0.440
Au6 0.749 0.432 0.440

**Space group**: P2_1/m
**Formation enthalpy at 0 K**: -0.14 eV/atom
**Total DFT energy (no corrections)**: -57.155 eV for the cell shown